Entry from OQMD via LeMat-Bulk: a relaxed Nb4InO crystal (PBE).

The structure in POSCAR format:
```
Nb4InO
1.0
4.017 -4.458 0.000
4.017 4.458 0.000
0.000 0.000 3.255
O Nb In
1 4 1
Direct
0.500 0.500 0.500
0.261 0.739 0.500
0.332 0.332 0.000
0.668 0.668 0.000
0.739 0.261 0.500
0.000 0.000 0.000
```

- Electronic total energy: -47.07 eV/cell
- Size of the total moment: 0.0002 μB/atom
- Calculated volume: 116.6 Å³ per cell

=====

Entry from OQMD via LeMat-Bulk: a relaxed NbInPO crystal (PBE).

The structure in POSCAR format:
```
NbInPO
1.0
-1.796 0.123 -3.202
-2.508 -2.338 1.317
-5.395 7.654 3.319
P In Nb O
2 2 2 2
Direct
0.500 0.000 0.240
0.000 0.500 0.760
0.500 0.500 0.500
0.000 0.000 0.500
0.500 0.000 0.879
0.000 0.500 0.121
0.000 0.000 0.000
0.500 0.500 0.000
```

- Electronic total energy: -50.42 eV/cell
- Size of the total moment: 0.1262 μB/atom
- Calculated volume: 134.0 Å³ per cell
- Energy above the lowest structure with this stoichiometry: 413 meV per atom